VASP calculation (PBE) on a relaxed CsKHfO3 crystal.

The space group is C2/c (No. 15) and the conventional cell measures 6.560, 12.708 and 5.945 Å, with angles of 90.00, 92.29 and 90.00 degrees. The asymmetric unit holds Cs at (0.000, 0.243, 0.250), K at (0.000, 0.082, 0.750), Hf at (0.000, 0.450, 0.750), O at (0.000, 0.298, 0.750) and O at (0.201, 0.492, 0.499).

Its total energy is -6.997 eV per atom. The crystal system is monoclinic. The calculation puts the density of states at the Fermi level at 0.00 states/eV/cell. The calculation puts the formation energy from raw total energies at -15.2 eV per formula unit. The volume is 495.14 Å³ per cell.